Entry 1:
Density functional theory data (PBE) for an optimized crystal structure of AlZnTe2N.

Properties
energy above the most stable polymorph in this dataset = 0.0 meV/atom
size of the total moment = 0.00 μB per formula unit
formation energy from raw total energies = 0.29 eV/atom
DOS(E_F) = 3.15 states/eV/cell

Geometry as extended XYZ:
```
5
Lattice="5.7417 0.0000 0.0000 0.0000 5.7417 0.0000 0.0000 0.0000 3.4336" Properties=species:S:1:pos:R:3 pbc="T T T"
Al 0.0000 0.0000 0.0000
Zn 2.8709 2.8709 1.7168
Te 0.0000 2.8709 0.0000
Te 2.8709 0.0000 0.0000
N 0.0000 0.0000 1.7168
```


Entry 2:
Density functional theory data (PBE) for an optimized crystal structure of Ac2Nd2Ho3.

Properties
calculated formation energy = 0.17 eV/atom
size of the total moment = 0.00 μB per formula unit
DOS(E_F) = 10.82 states/eV/cell

Geometry as extended XYZ:
```
7
Lattice="2.9010 -12.2048 0.0000 2.9010 12.2048 0.0000 0.0000 0.0000 3.5815" Properties=species:S:1:pos:R:3 pbc="T T T"
Ac 2.9010 10.3294 0.0000
Ac 2.9010 -10.3294 0.0000
Nd 2.9010 3.7014 1.7908
Nd 2.9010 -3.7014 1.7908
Ho 2.9010 6.8906 0.0000
Ho 2.9010 0.0000 0.0000
Ho 2.9010 -6.8906 0.0000
```


Entry 3:
Density functional theory data (PBE) for an optimized crystal structure of InFeSN2.

Properties
energy above the most stable polymorph in this dataset = 0.0 meV/atom
size of the total moment = 0.00 μB per formula unit
formation energy from raw total energies = 0.63 eV/atom
DOS(E_F) = 3.29 states/eV/cell

Geometry as extended XYZ:
```
5
Lattice="3.6745 0.0000 0.0000 0.0000 3.6745 0.0000 0.0000 0.0000 5.0103" Properties=species:S:1:pos:R:3 pbc="T T T"
In 0.0000 0.0000 0.0000
Fe 1.8373 1.8373 2.5052
S 1.8373 1.8373 0.0000
N 0.0000 1.8373 2.5052
N 1.8373 0.0000 2.5052
```